No. 1
## NaTl3Ga (PBE-GGA)

Data for a relaxed structure of NaTl3Ga.

a = 3.882 Å, b = 8.559 Å, c = 8.928 Å
α = 94.06°, β = 90.16°, γ = 102.70°
Fractional coordinates of all 10 atoms:
Na (0.428, 0.884, 0.279)
Na (0.617, 0.270, 0.143)
Tl (0.084, 0.193, 0.444)
Tl (0.421, 0.893, 0.641)
Tl (0.622, 0.261, 0.781)
Tl (0.960, 0.960, 0.977)
Tl (0.271, 0.577, 0.020)
Tl (0.773, 0.577, 0.402)
Ga (0.231, 0.491, 0.644)
Ga (0.813, 0.663, 0.777)

SG: P-1 (2)
ΔH_f (0 K): -0.0218 eV per atom
Total energy: -2.311 eV per atom
ρ: 8.1 Mg/m³
Relative energy among the computed polymorphs: 0 meV per atom

No. 2
## NaTlGa4 (PBE-GGA)

Data for a relaxed structure of NaTlGa4.

a = 5.722 Å, b = 5.722 Å, c = 5.722 Å
α = 60.00°, β = 60.00°, γ = 60.00°
Fractional coordinates of all 6 atoms:
Na (0.000, 0.000, 0.000)
Tl (0.250, 0.250, 0.250)
Ga (0.625, 0.625, 0.124)
Ga (0.625, 0.124, 0.625)
Ga (0.625, 0.625, 0.625)
Ga (0.124, 0.625, 0.625)

SG: F-43m (216)
ΔH_f (0 K): -0.0402 eV per atom
Total energy: -2.672 eV per atom
ρ: 6.3 Mg/m³

No. 3
## NaTlGa (PBE-GGA)

Data for a relaxed structure of NaTlGa.

a = 4.257 Å, b = 5.711 Å, c = 7.241 Å
α = 99.36°, β = 107.09°, γ = 90.00°
Fractional coordinates of all 6 atoms:
Na (0.872, 0.164, 0.743)
Na (0.128, 0.836, 0.257)
Tl (0.429, 0.709, 0.858)
Tl (0.571, 0.291, 0.142)
Ga (0.227, 0.375, 0.454)
Ga (0.773, 0.625, 0.546)

SG: C2/m (12)
ΔH_f (0 K): -0.0483 eV per atom
Total energy: -2.286 eV per atom
ρ: 6.0 Mg/m³
Relative energy among the computed polymorphs: 25 meV per atom

No. 4
## Na3TlGa (PBE-GGA)

Data for a relaxed structure of Na3TlGa.

a = 5.643 Å, b = 5.643 Å, c = 5.643 Å
α = 90.00°, β = 90.00°, γ = 90.00°
Fractional coordinates of all 5 atoms:
Na (0.000, 0.500, 0.000)
Na (0.000, 0.000, 0.500)
Na (0.500, 0.000, 0.000)
Tl (0.500, 0.500, 0.500)
Ga (0.000, 0.000, 0.000)

SG: Pm-3m (221)
ΔH_f (0 K): 0.1957 eV per atom
Total energy: -1.674 eV per atom
ρ: 3.2 Mg/m³
Relative energy among the computed polymorphs: 192 meV per atom

No. 5
## Na2Tl3Ga (PBE-GGA)

Data for a relaxed structure of Na2Tl3Ga.

a = 6.469 Å, b = 8.020 Å, c = 8.020 Å
α = 118.65°, β = 90.00°, γ = 90.00°
Fractional coordinates of all 12 atoms:
Na (0.750, 0.477, 0.747)
Na (0.250, 0.253, 0.523)
Na (0.250, 0.523, 0.253)
Na (0.750, 0.747, 0.477)
Tl (0.000, 0.170, 0.830)
Tl (0.500, 0.170, 0.830)
Tl (0.250, 0.731, 0.731)
Tl (0.750, 0.269, 0.269)
Tl (0.500, 0.830, 0.170)
Tl (0.000, 0.830, 0.170)
Ga (0.250, 0.098, 0.098)
Ga (0.750, 0.902, 0.902)

SG: Cmcm (63)
ΔH_f (0 K): -0.0264 eV per atom
Total energy: -2.154 eV per atom
ρ: 6.6 Mg/m³
Relative energy among the computed polymorphs: 45 meV per atom

No. 6
## Na3Tl4Ga2 (PBE-GGA)

Data for a relaxed structure of Na3Tl4Ga2.

a = 4.343 Å, b = 6.683 Å, c = 9.185 Å
α = 93.00°, β = 90.00°, γ = 108.96°
Fractional coordinates of all 9 atoms:
Na (0.620, 0.240, 0.728)
Na (0.000, 0.000, 0.000)
Na (0.380, 0.760, 0.272)
Tl (0.692, 0.384, 0.107)
Tl (0.308, 0.616, 0.893)
Tl (0.927, 0.855, 0.645)
Tl (0.073, 0.145, 0.355)
Ga (0.743, 0.487, 0.420)
Ga (0.257, 0.513, 0.580)

SG: C2/m (12)
ΔH_f (0 K): -0.0724 eV per atom
Total energy: -2.236 eV per atom
ρ: 6.8 Mg/m³